Record 1
# ZrTlAu3S4 (PBE-GGA, optimized geometry)
# **ΔE to the lowest computed polymorph**: 16 meV/atom
data_ZrTlAu3S4
_cell_length_a 5.8347
_cell_length_b 7.7090
_cell_length_c 10.3789
_cell_angle_alpha 90.00
_cell_angle_beta 102.54
_cell_angle_gamma 90.00
_space_group_name_H-M_alt 'P 1 21/m 1'
_space_group_IT_number 11
loop_
_space_group_symop_operation_xyz
'x,y,z'
'-x,-y,-z'
'-x,y+1/2,-z'
'x,-y+1/2,z'
loop_
_atom_site_label
_atom_site_fract_x
_atom_site_fract_y
_atom_site_fract_z
Zr1 0.1097 0.2500 0.2922
Tl1 0.1817 0.2500 0.8756
Au1 0.3361 0.5590 0.5771
Au2 0.4788 0.7500 0.8369
S1 0.0081 0.7500 0.4829
S2 0.1409 0.7500 0.9270
S3 0.3310 0.5112 0.2526



Record 2
# ZrTlAu3S4 (PBE-GGA, optimized geometry)
# **ΔE to the lowest computed polymorph**: 0 meV/atom
data_ZrTlAu3S4
_cell_length_a 6.2252
_cell_length_b 6.2252
_cell_length_c 6.2252
_cell_angle_alpha 90.00
_cell_angle_beta 90.00
_cell_angle_gamma 90.00
_space_group_name_H-M_alt 'P -4 3 m'
_space_group_IT_number 215
_space_group_name_Hall 'P -4 2 3'
loop_
_atom_site_label
_atom_site_fract_x
_atom_site_fract_y
_atom_site_fract_z
Zr1 0.0000 0.0000 0.0000
Tl1 0.5000 0.5000 0.5000
Au1 0.0000 0.0000 0.5000
S1 0.2255 0.2255 0.7745



Record 3
The following is a DFT calculation (PBE-GGA) of a geometry-optimized Tm3AuS6 structure.

Cell and atoms, written as CIF:
```
data_Tm3AuS6
_cell_length_a 4.1305
_cell_length_b 6.6461
_cell_length_c 8.4304
_cell_angle_alpha 88.37
_cell_angle_beta 78.06
_cell_angle_gamma 84.63
_space_group_name_H-M_alt 'P -1'
_space_group_IT_number 2
loop_
_space_group_symop_operation_xyz
'x,y,z'
'-x,-y,-z'
loop_
_atom_site_label
_atom_site_fract_x
_atom_site_fract_y
_atom_site_fract_z
Tm1 0.0000 0.0000 0.0000
Tm2 0.3637 0.5467 0.2687
Au1 0.0000 0.0000 0.5000
S1 0.1617 0.6707 0.5968
S2 0.1743 0.1720 0.7088
S3 0.4452 0.2632 0.0337
```



Record 4
# TmAuS2 (PBE-GGA, optimized geometry)
# **ΔE to the lowest computed polymorph**: 0 meV/atom
data_TmAuS2
_cell_length_a 12.9158
_cell_length_b 4.0577
_cell_length_c 7.1400
_cell_angle_alpha 90.00
_cell_angle_beta 90.00
_cell_angle_gamma 90.00
_space_group_name_H-M_alt 'P n m a'
_space_group_IT_number 62
loop_
_space_group_symop_operation_xyz
'x,y,z'
'-x,-y,-z'
'-x+1/2,-y,z+1/2'
'x+1/2,y,-z+1/2'
'x+1/2,-y+1/2,-z+1/2'
'-x+1/2,y+1/2,z+1/2'
'-x,y+1/2,-z'
'x,-y+1/2,z'
loop_
_atom_site_label
_atom_site_fract_x
_atom_site_fract_y
_atom_site_fract_z
Tm1 0.1446 0.2500 0.0111
Au1 0.1025 0.7500 0.5176
S1 0.0480 0.7500 0.8281
S2 0.2042 0.7500 0.2470



Record 5
# TmAuS2 (PBE-GGA, optimized geometry)
# **ΔE to the lowest computed polymorph**: 118 meV/atom
data_TmAuS2
_cell_length_a 4.0380
_cell_length_b 4.0380
_cell_length_c 6.3848
_cell_angle_alpha 90.00
_cell_angle_beta 90.00
_cell_angle_gamma 120.00
_space_group_name_H-M_alt 'P 3 m 1'
_space_group_IT_number 156
loop_
_space_group_symop_operation_xyz
'x,y,z'
'-y,x-y,z'
'-x+y,-x,z'
'-y,-x,z'
'-x+y,y,z'
'x,x-y,z'
loop_
_atom_site_label
_atom_site_fract_x
_atom_site_fract_y
_atom_site_fract_z
Tm1 0.0000 0.0000 0.0000
Au1 0.3333 0.6667 0.5915
S1 0.3333 0.6667 0.2111
S2 0.6667 0.3333 0.7686



Record 6
The following is a DFT calculation (PBE-GGA) of a geometry-optimized W3AuS5 structure.

Cell and atoms, written as CIF:
```
data_W3AuS5
_cell_length_a 5.5389
_cell_length_b 5.5389
_cell_length_c 6.9967
_cell_angle_alpha 90.00
_cell_angle_beta 90.00
_cell_angle_gamma 120.00
_space_group_name_H-M_alt 'P 6/m m m'
_space_group_IT_number 191
_space_group_name_Hall '-P 6 2'
loop_
_atom_site_label
_atom_site_fract_x
_atom_site_fract_y
_atom_site_fract_z
W1 0.0000 0.5000 0.0000
Au1 0.0000 0.0000 0.5000
S1 0.0000 0.0000 0.0000
S2 0.3333 0.6667 0.2634
```



Number 1: total magnetic moment 0.02 μB/cell, DFT total energy -41.323 eV/f.u.. Number 2: total magnetic moment 0.00 μB/cell, DFT total energy -41.471 eV/f.u.. Number 3: total magnetic moment 0.00 μB/cell, DFT total energy -56.378 eV/f.u.. Number 4: total magnetic moment 0.00 μB/cell, DFT total energy -21.166 eV/f.u.. Number 5: total magnetic moment 0.00 μB/cell, DFT total energy -20.695 eV/f.u.. Number 6: total magnetic moment 1.71 μB/cell, DFT total energy -61.167 eV/f.u..